(1)
TbNd2Zr | PBE-GGA | optimized geometry

## Properties
**Symmetry**: P4/mmm, No. 123
**Energy relative to the lowest polymorph listed for this composition**: 0.19 eV per formula unit
**VASP energy**: -5.504 eV/atom
**Calculated formation energy**: 0.1746 eV per atom

Geometry as CIF:
```
data_TbNd2Zr
_chemical_formula_sum 'Tb1 Nd2 Zr1'
_symmetry_space_group_name_H-M 'P 1'
_symmetry_Int_Tables_number 1
_cell_length_a 4.086
_cell_length_b 4.086
_cell_length_c 7.353
_cell_angle_alpha 90.00
_cell_angle_beta 90.00
_cell_angle_gamma 90.00
loop_
_symmetry_equiv_pos_as_xyz
'x,y,z'
loop_
_atom_site_label
_atom_site_type_symbol
_atom_site_fract_x
_atom_site_fract_y
_atom_site_fract_z
Tb1 Tb 0.500 0.500 0.500
Zr1 Zr 0.500 0.500 0.000
Nd1 Nd 0.000 0.000 0.775
Nd2 Nd 0.000 0.000 0.225
```

(2)
Tb6Nd12Zr | PBE-GGA | optimized geometry

## Properties
**Symmetry**: R-3, No. 148
**VASP energy**: -4.886 eV/atom
**Calculated formation energy**: 0.0369 eV per atom

Geometry as CIF:
```
data_Tb6Nd12Zr
_chemical_formula_sum 'Tb6 Nd12 Zr1'
_symmetry_space_group_name_H-M 'P 1'
_symmetry_Int_Tables_number 1
_cell_length_a 9.565
_cell_length_b 9.565
_cell_length_c 9.565
_cell_angle_alpha 110.92
_cell_angle_beta 110.92
_cell_angle_gamma 110.92
loop_
_symmetry_equiv_pos_as_xyz
'x,y,z'
loop_
_atom_site_label
_atom_site_type_symbol
_atom_site_fract_x
_atom_site_fract_y
_atom_site_fract_z
Nd1 Nd 0.058 0.584 0.374
Nd2 Nd 0.584 0.374 0.058
Nd3 Nd 0.942 0.416 0.626
Nd4 Nd 0.742 0.102 0.154
Nd5 Nd 0.102 0.154 0.742
Nd6 Nd 0.898 0.846 0.258
Nd7 Nd 0.626 0.942 0.416
Nd8 Nd 0.154 0.742 0.102
Nd9 Nd 0.846 0.258 0.898
Nd10 Nd 0.374 0.058 0.584
Nd11 Nd 0.258 0.898 0.846
Nd12 Nd 0.416 0.626 0.942
Tb1 Tb 0.689 0.537 0.791
Tb2 Tb 0.311 0.463 0.209
Tb3 Tb 0.537 0.791 0.689
Tb4 Tb 0.209 0.311 0.463
Tb5 Tb 0.463 0.209 0.311
Tb6 Tb 0.791 0.689 0.537
Zr1 Zr 0.000 0.000 0.000
```

(3)
TbNdZr2 | PBE-GGA | optimized geometry

## Properties
**Symmetry**: P4/mmm, No. 123
**Energy relative to the lowest polymorph listed for this composition**: 0.00 eV per formula unit
**VASP energy**: -6.453 eV/atom
**Calculated formation energy**: 0.1710 eV per atom

Geometry as CIF:
```
data_TbNdZr2
_chemical_formula_sum 'Tb1 Nd1 Zr2'
_symmetry_space_group_name_H-M 'P 1'
_symmetry_Int_Tables_number 1
_cell_length_a 4.874
_cell_length_b 4.742
_cell_length_c 4.742
_cell_angle_alpha 90.00
_cell_angle_beta 90.00
_cell_angle_gamma 90.00
loop_
_symmetry_equiv_pos_as_xyz
'x,y,z'
loop_
_atom_site_label
_atom_site_type_symbol
_atom_site_fract_x
_atom_site_fract_y
_atom_site_fract_z
Tb1 Tb 0.500 0.000 0.000
Nd1 Nd 0.500 0.500 0.500
Zr1 Zr 0.000 0.000 0.500
Zr2 Zr 0.000 0.500 0.000
```

(4)
TbNd2Zr | PBE-GGA | optimized geometry

## Properties
**Symmetry**: R-3m, No. 166
**Energy relative to the lowest polymorph listed for this composition**: 0.76 eV per formula unit
**VASP energy**: -5.362 eV/atom
**Calculated formation energy**: 0.3167 eV per atom

Geometry as CIF:
```
data_TbNd2Zr
_chemical_formula_sum 'Tb1 Nd2 Zr1'
_symmetry_space_group_name_H-M 'P 1'
_symmetry_Int_Tables_number 1
_cell_length_a 3.424
_cell_length_b 3.424
_cell_length_c 12.348
_cell_angle_alpha 82.03
_cell_angle_beta 82.03
_cell_angle_gamma 60.00
loop_
_symmetry_equiv_pos_as_xyz
'x,y,z'
loop_
_atom_site_label
_atom_site_type_symbol
_atom_site_fract_x
_atom_site_fract_y
_atom_site_fract_z
Zr1 Zr 0.000 0.000 0.000
Nd1 Nd 0.915 0.915 0.256
Nd2 Nd 0.085 0.085 0.744
Tb1 Tb 0.500 0.500 0.500
```

(5)
TbNd2Zr | PBE-GGA | optimized geometry

## Properties
**Symmetry**: R3m, No. 160
**Energy relative to the lowest polymorph listed for this composition**: 0.00 eV per formula unit
**VASP energy**: -5.552 eV/atom
**Calculated formation energy**: 0.1260 eV per atom

Geometry as CIF:
```
data_TbNd2Zr
_chemical_formula_sum 'Tb1 Nd2 Zr1'
_symmetry_space_group_name_H-M 'P 1'
_symmetry_Int_Tables_number 1
_cell_length_a 3.516
_cell_length_b 3.516
_cell_length_c 11.637
_cell_angle_alpha 81.31
_cell_angle_beta 81.31
_cell_angle_gamma 60.00
loop_
_symmetry_equiv_pos_as_xyz
'x,y,z'
loop_
_atom_site_label
_atom_site_type_symbol
_atom_site_fract_x
_atom_site_fract_y
_atom_site_fract_z
Tb1 Tb 0.499 0.499 0.503
Nd1 Nd 0.079 0.079 0.764
Nd2 Nd 0.255 0.255 0.235
Zr1 Zr 0.667 0.667 0.998
```

(6)
TbNd2Zr | PBE-GGA | optimized geometry

## Properties
**Symmetry**: Fm-3m, No. 225
**Energy relative to the lowest polymorph listed for this composition**: 0.39 eV per formula unit
**VASP energy**: -5.454 eV/atom
**Calculated formation energy**: 0.2242 eV per atom

Geometry as CIF:
```
data_TbNd2Zr
_chemical_formula_sum 'Tb1 Nd2 Zr1'
_symmetry_space_group_name_H-M 'P 1'
_symmetry_Int_Tables_number 1
_cell_length_a 5.562
_cell_length_b 5.562
_cell_length_c 5.562
_cell_angle_alpha 60.00
_cell_angle_beta 60.00
_cell_angle_gamma 60.00
loop_
_symmetry_equiv_pos_as_xyz
'x,y,z'
loop_
_atom_site_label
_atom_site_type_symbol
_atom_site_fract_x
_atom_site_fract_y
_atom_site_fract_z
Zr1 Zr 0.500 0.500 0.500
Nd1 Nd 0.250 0.250 0.250
Nd2 Nd 0.750 0.750 0.750
Tb1 Tb 0.000 0.000 0.000
```

Look up the VASP energy of the fifth one. -5.552 eV/atom